Compound: ScTcAg2
Source: the Alexandria database
Functional: PBE
Structure: relaxed

POSCAR file:
```
ScTcAg2
1.0
-2.785 4.857 -1.000
-5.460 0.732 1.413
5.286 -1.220 1.709
Ag Tc Sc
2 1 1
direct
0.488 0.488 0.000 Ag
0.012 0.012 0.000 Ag
0.250 0.750 0.500 Tc
0.750 0.250 0.500 Sc
```

Properties
SG: Immm, No. 71
E_form in meV/atom: 141
Spin magnetization in μB/f.u.: 0.0
Relative energy among the computed polymorphs in eV/atom: 0.0350
Calculated total energy in eV per atom: -5.46


Compound: Ag2AsRu
Source: the Alexandria database
Functional: PBE
Structure: relaxed

POSCAR file:
```
Ag2AsRu
1.0
-3.514 -3.631 -0.829
2.164 -1.990 -0.461
0.178 -1.157 4.312
Ru Ag As
1 2 1
direct
0.500 0.750 0.750 Ru
0.000 0.493 0.501 Ag
0.000 0.007 0.999 Ag
0.500 0.250 0.250 As
```

Properties
SG: P2/m, No. 10
E_form in meV/atom: 383
Spin magnetization in μB/f.u.: 0.6
Calculated total energy in eV per atom: -4.52


Compound: Pu3Au
Source: the Alexandria database
Functional: PBE
Structure: relaxed

POSCAR file:
```
Pu3Au
1.0
3.995 0.000 0.000
0.000 4.911 0.000
-1.998 -2.455 5.072
Pu Au
3 1
direct
0.738 0.154 0.475 Pu
0.500 0.417 0.000 Pu
0.262 0.679 0.525 Pu
0.000 0.917 0.000 Au
```

Properties
SG: Immm, No. 71
E_form in meV/atom: -36
Spin magnetization in μB/f.u.: 17.7
Relative energy among the computed polymorphs in eV/atom: 0.0486
Calculated total energy in eV per atom: -11.60


- What is the E_form in the first record?
  141 meV/atom


- Look up the calculated total energy of the first one.
  -5.46 eV per atom


- What is the formula in the first record?
  ScTcAg2


- Which formula does entry 1 have?
  ScTcAg2